The following is a DFT calculation (PBE-GGA) of an optimized crystal structure of LaSmHoTl.

## Properties
For the formation energy, the calculation gives -0.0797 eV/atom. The calculation puts the magnetization at 0.294 μB/atom. Its total energy is -67.6 eV for the cell shown. For the polymorph energy (0 for the lowest one), the calculation gives 0.0000 eV/atom.

Cell lengths 7.922, 7.922, 7.922 Å; angles 90.00, 90.00, 90.00 degrees
Element x y z (fractional)
La  0.000  0.000  0.000
La  0.000  0.500  0.500
La  0.500  0.000  0.500
La  0.500  0.500  0.000
Sm  0.000  0.000  0.500
Sm  0.000  0.500  0.000
Sm  0.500  0.000  0.000
Sm  0.500  0.500  0.500
Ho  0.250  0.250  0.250
Ho  0.250  0.750  0.750
Ho  0.750  0.250  0.750
Ho  0.750  0.750  0.250
Tl  0.250  0.250  0.750
Tl  0.250  0.750  0.250
Tl  0.750  0.250  0.250
Tl  0.750  0.750  0.750